[1]
The following is a PBE calculation of a relaxed PmBeP2O8 crystal, from Alexandria.

Cell lengths 4.996, 4.996, 6.409 Å; angles 90.00, 90.00, 120.00 degrees
Positions (direct):
Pm1 0.000 0.000 0.000
Be1 0.000 0.000 0.500
P1 0.333 0.667 0.750
P2 0.667 0.333 0.250
O1 0.164 0.327 0.678
O2 0.164 0.836 0.678
O3 0.327 0.164 0.322
O4 0.333 0.667 0.992
O5 0.667 0.333 0.008
O6 0.673 0.836 0.678
O7 0.836 0.164 0.322
O8 0.836 0.673 0.322

Output
The value obtained for the total energy is -87.61 eV for the cell shown. The magnetization is 0.0 μB/f.u. The calculation puts the density of states at the Fermi level at 0.563 states/eV per atom.

[2]
The following is a PBE calculation of a relaxed BePPtO2 crystal, from Alexandria.

Cell lengths 3.291, 3.291, 6.970 Å; angles 90.00, 90.00, 90.00 degrees
Positions (direct):
Be1 0.000 0.000 0.000
P1 0.000 0.000 0.500
Pt1 0.500 0.500 0.500
O1 0.000 0.500 0.000
O2 0.500 0.000 0.000

Output
The magnetization is 0.6 μB/f.u. The calculation puts the density of states at the Fermi level at 0.616 states/eV per atom. For the energy above the most stable polymorph in this dataset, the calculation gives 0.000 eV per atom.

[3]
The following is a PBE calculation of a relaxed BePPtO2 crystal, from Alexandria.

Cell lengths 3.775, 3.775, 5.246 Å; angles 90.00, 90.00, 90.00 degrees
Positions (direct):
Be1 0.000 0.000 0.000
P1 0.500 0.500 0.000
Pt1 0.500 0.500 0.500
O1 0.000 0.500 0.500
O2 0.500 0.000 0.500

Output
The magnetization is 1.1 μB/f.u. The calculation puts the density of states at the Fermi level at 0.892 states/eV per atom. For the energy above the most stable polymorph in this dataset, the calculation gives 0.747 eV per atom.

[4]
The following is a PBE calculation of a relaxed BePPt2O crystal, from Alexandria.

Cell lengths 4.757, 4.757, 2.915 Å; angles 90.00, 90.00, 90.00 degrees
Positions (direct):
Be1 0.000 0.000 0.000
P1 0.500 0.500 0.000
Pt1 0.000 0.500 0.500
Pt2 0.500 0.000 0.500
O1 0.000 0.000 0.500

Output
The value obtained for the total energy is -27.41 eV for the cell shown. The magnetization is 0.0 μB/f.u. The calculation puts the density of states at the Fermi level at 0.566 states/eV per atom.

[5]
The following is a PBE calculation of a relaxed RbBePO2 crystal, from Alexandria.

Cell lengths 4.137, 4.137, 4.129 Å; angles 90.00, 90.00, 90.00 degrees
Positions (direct):
Rb1 0.000 0.000 0.000
Be1 0.500 0.500 0.500
P1 0.500 0.500 0.000
O1 0.000 0.500 0.500
O2 0.500 0.000 0.500

Output
The magnetization is 0.4 μB/f.u. The calculation puts the density of states at the Fermi level at 0.646 states/eV per atom. For the energy above the most stable polymorph in this dataset, the calculation gives 0.000 eV per atom.

[6]
The following is a PBE calculation of a relaxed RbBePO4 crystal, from Alexandria.

Cell lengths 8.723, 8.720, 5.054 Å; angles 90.00, 90.00, 90.00 degrees
Positions (direct):
Rb1 0.004 0.199 0.000
Rb2 0.496 0.699 0.500
Rb3 0.504 0.301 0.000
Rb4 0.996 0.801 0.500
Be1 0.176 0.410 0.507
Be2 0.324 0.910 0.007
Be3 0.676 0.090 0.507
Be4 0.824 0.590 0.007
P1 0.184 0.584 0.008
P2 0.316 0.084 0.508
P3 0.684 0.916 0.008
P4 0.816 0.416 0.508
O1 0.009 0.603 0.013
O2 0.237 0.462 0.214
O3 0.240 0.533 0.730
O4 0.241 0.239 0.581
O5 0.259 0.739 0.081
O6 0.260 0.033 0.230
O7 0.263 0.962 0.714
O8 0.491 0.103 0.513
O9 0.509 0.897 0.013
O10 0.737 0.038 0.214
O11 0.740 0.967 0.730
O12 0.741 0.261 0.581
O13 0.759 0.761 0.081
O14 0.760 0.467 0.230
O15 0.763 0.538 0.714
O16 0.991 0.397 0.513

Output
The magnetization is 0.0 μB/f.u. The calculation puts the density of states at the Fermi level at 0.000 states/eV per atom. For the energy above the most stable polymorph in this dataset, the calculation gives 0.000 eV per atom.

[7]
The following is a PBE calculation of a relaxed RbBeP2O crystal, from Alexandria.

Cell lengths 5.431, 5.431, 4.276 Å; angles 90.00, 90.00, 90.00 degrees
Positions (direct):
Rb1 0.000 0.000 0.000
Be1 0.500 0.500 0.500
P1 0.000 0.500 0.000
P2 0.500 0.000 0.000
O1 0.000 0.000 0.500

Output
The magnetization is 1.4 μB/f.u. The calculation puts the density of states at the Fermi level at 0.572 states/eV per atom. For the energy above the most stable polymorph in this dataset, the calculation gives 1.769 eV per atom.

[8]
The following is a PBE calculation of a relaxed RbBePO4 crystal, from Alexandria.

Cell lengths 4.577, 6.525, 7.929 Å; angles 90.00, 106.85, 90.00 degrees
Positions (direct):
Rb1 0.064 0.250 0.323
Rb2 0.936 0.750 0.677
Be1 0.257 0.250 0.852
Be2 0.743 0.750 0.148
P1 0.338 0.750 0.234
P2 0.662 0.250 0.766
O1 0.025 0.750 0.085
O2 0.280 0.750 0.412
O3 0.454 0.070 0.801
O4 0.454 0.430 0.801
O5 0.546 0.570 0.199
O6 0.546 0.930 0.199
O7 0.720 0.250 0.588
O8 0.975 0.250 0.915

Output
The magnetization is 0.0 μB/f.u. The calculation puts the density of states at the Fermi level at 0.000 states/eV per atom. For the energy above the most stable polymorph in this dataset, the calculation gives 0.192 eV per atom.